! KVOF3 (GGA+U, relaxed); values from VASP
&SYSTEM
  ibrav = 0, nat = 24, ntyp = 4
/
ATOMIC_SPECIES
F 19.00 F.upf
O 16.00 O.upf
V 50.94 V.upf
K 39.10 K.upf
ATOMIC_POSITIONS crystal
F 0.076 0.035 0.332
F 0.623 0.142 0.716
F 0.377 0.858 0.284
F 0.596 0.094 0.381
O 0.721 0.741 0.949
V 0.317 0.107 0.292
K 0.849 0.359 0.281
V 0.317 0.601 0.292
F 0.272 0.315 0.371
F 0.924 0.367 0.668
F 0.596 0.525 0.382
F 0.924 0.965 0.668
K 0.151 0.641 0.719
O 0.279 0.690 0.052
F 0.728 0.685 0.629
K 0.232 0.109 0.782
F 0.404 0.475 0.618
V 0.683 0.399 0.708
K 0.768 0.891 0.218
F 0.076 0.633 0.332
O 0.279 0.259 0.051
V 0.683 0.893 0.708
O 0.721 0.310 0.948
F 0.404 0.906 0.619
CELL_PARAMETERS angstrom
7.352 0.000 -0.007
0.000 7.699 0.000
-1.774 3.850 6.712
! Fermi-level density of states, states/eV/cell: 0.00
! Space group: C2/m, No. 12
! Raw total energy, eV per cell: -140.00
! Total magnetization, μB/cell: 4.00